A plane-wave DFT calculation with GGA-PBE was carried out for a relaxed CsSrReIr2 crystal. Values from VASP.

SG	P4/mmm (123)
total moment	0.00	Bohr magnetons per cell
DOS(E_F)	4.4	states/eV/f.u.
total DFT energy (no corrections)	-5.638	eV/atom

The structure in Quantum ESPRESSO input format:
```
&SYSTEM
  ibrav = 0, nat = 5, ntyp = 4
/
ATOMIC_SPECIES
Cs 132.91 Cs.upf
Sr 87.62 Sr.upf
Re 186.21 Re.upf
Ir 192.22 Ir.upf
ATOMIC_POSITIONS crystal
Cs 0.000 0.000 0.000
Sr 0.500 0.500 0.000
Re 0.500 0.500 0.500
Ir 0.000 0.500 0.500
Ir 0.500 0.000 0.500
CELL_PARAMETERS angstrom
4.902 0.000 0.000
0.000 4.902 0.000
0.000 0.000 5.687
```